Entry 1:
NaSi2Ag2, optimized geometry, DFT PBE; distance to the lowest polymorph of the same formula = 0.00 eV per formula unit; E_form (uncorrected) = 0.06 eV/atom; final energy = -17.548 eV per formula unit
1.0
-2.215 2.215 5.005
2.215 -2.215 5.005
2.215 2.215 -5.005
Na Si Ag
1 2 2
Direct
0.000 0.000 0.000
0.386 0.386 0.000
0.614 0.614 0.000
0.250 0.750 0.500
0.750 0.250 0.500

---

Entry 2:
TbTm3Ru8, optimized geometry, DFT PBE; final energy = -96.196 eV per formula unit; energy of formation = -0.3287 eV/atom
1.0
2.651 1.530 8.710
-2.651 1.530 8.710
0.000 -3.061 8.710
Tb Tm Ru
1 3 8
Direct
0.000 0.000 0.000
0.125 0.125 0.125
0.500 0.500 0.500
0.625 0.625 0.625
0.063 0.063 0.560
0.063 0.560 0.063
0.064 0.563 0.563
0.313 0.313 0.313
0.560 0.063 0.063
0.563 0.064 0.563
0.563 0.563 0.064
0.813 0.813 0.813

---

Entry 3:
TmInIr, optimized geometry, DFT PBE; final energy = -18.125 eV per formula unit; energy of formation = -0.6848 eV/atom
1.0
7.342 0.000 0.000
0.000 4.055 0.000
-0.251 0.000 12.790
Tm In Ir
6 6 6
Direct
0.044 0.250 0.119
0.154 0.250 0.419
0.446 0.750 0.784
0.554 0.250 0.216
0.846 0.750 0.581
0.956 0.750 0.881
0.112 0.250 0.705
0.359 0.750 0.044
0.494 0.750 0.412
0.506 0.250 0.588
0.641 0.250 0.956
0.888 0.750 0.295
0.245 0.750 0.581
0.246 0.250 0.911
0.256 0.750 0.247
0.744 0.250 0.753
0.754 0.750 0.089
0.755 0.250 0.419

---

Entry 4:
Sc2Be2GeIr5, optimized geometry, DFT PBE; final energy = -77.046 eV per formula unit; energy of formation = -0.8008 eV/atom
1.0
9.527 0.000 0.000
0.000 9.527 0.000
0.000 0.000 3.086
Sc Be Ge Ir
4 4 2 10
Direct
0.175 0.325 0.000
0.325 0.825 0.000
0.675 0.175 0.000
0.825 0.675 0.000
0.124 0.624 0.000
0.376 0.124 0.000
0.624 0.876 0.000
0.876 0.376 0.000
0.000 0.000 0.000
0.500 0.500 0.000
0.000 0.500 0.500
0.068 0.791 0.500
0.209 0.068 0.500
0.291 0.568 0.500
0.432 0.291 0.500
0.500 0.000 0.500
0.568 0.709 0.500
0.709 0.432 0.500
0.791 0.932 0.500
0.932 0.209 0.500

---

Entry 5:
Dy2Si2PtRh5, optimized geometry, DFT PBE; E_form (uncorrected) = -0.85 eV/atom; final energy = -71.365 eV per formula unit
1.0
9.639 0.000 0.000
0.000 9.639 0.000
0.000 0.000 3.538
Dy Si Pt Rh
4 4 2 10
Direct
0.176 0.324 0.000
0.324 0.824 0.000
0.676 0.176 0.000
0.824 0.676 0.000
0.124 0.624 0.000
0.376 0.124 0.000
0.624 0.876 0.000
0.876 0.376 0.000
0.000 0.000 0.000
0.500 0.500 0.000
0.000 0.500 0.500
0.069 0.786 0.500
0.214 0.069 0.500
0.286 0.569 0.500
0.431 0.286 0.500
0.500 0.000 0.500
0.569 0.714 0.500
0.714 0.431 0.500
0.786 0.931 0.500
0.931 0.214 0.500

---

Entry 6:
CaSe2Br, optimized geometry, DFT PBE; distance to the lowest polymorph of the same formula = 2.17 eV per formula unit; E_form (uncorrected) = -0.54 eV/atom; final energy = -12.802 eV per formula unit
1.0
0.000 3.691 3.691
3.691 0.000 3.691
3.691 3.691 0.000
Ca Se Br
1 2 1
Direct
0.000 0.000 0.000
0.250 0.250 0.250
0.500 0.500 0.500
0.750 0.750 0.750

---

Entry 7:
Zn2Ni17, optimized geometry, DFT PBE; final energy = -98.405 eV per formula unit; energy of formation = 0.1276 eV/atom
1.0
4.025 2.324 4.034
-4.025 2.324 4.034
0.000 -4.648 4.034
Zn Ni
2 17
Direct
0.167 0.167 0.167
0.833 0.833 0.833
0.000 0.500 0.500
0.151 0.151 0.658
0.151 0.658 0.151
0.195 0.500 0.805
0.195 0.805 0.500
0.342 0.849 0.849
0.401 0.401 0.401
0.500 0.000 0.500
0.500 0.195 0.805
0.500 0.500 0.000
0.500 0.805 0.195
0.599 0.599 0.599
0.658 0.151 0.151
0.805 0.195 0.500
0.805 0.500 0.195
0.849 0.342 0.849
0.849 0.849 0.342

---

Entry 8:
Cs3SI6, optimized geometry, DFT PBE; E_form (uncorrected) = -0.70 eV/atom; final energy = -23.000 eV per formula unit
1.0
-4.612 4.612 6.291
4.612 -4.612 6.291
4.612 4.612 -6.291
Cs S I
3 1 6
Direct
0.000 0.000 0.000
0.250 0.750 0.500
0.750 0.250 0.500
0.500 0.500 0.000
0.274 0.274 0.549
0.274 0.726 0.000
0.286 0.286 0.000
0.714 0.714 0.000
0.726 0.274 0.000
0.726 0.726 0.451

---

final energy of number 3 (TmInIr)? -18.125 eV per formula unit

---

What is the formula in the first record? NaSi2Ag2

---

Copy entry 8 word for word.
Cs3SI6, optimized geometry, DFT PBE; E_form (uncorrected) = -0.70 eV/atom; final energy = -23.000 eV per formula unit
1.0
-4.612 4.612 6.291
4.612 -4.612 6.291
4.612 4.612 -6.291
Cs S I
3 1 6
Direct
0.000 0.000 0.000
0.250 0.750 0.500
0.750 0.250 0.500
0.500 0.500 0.000
0.274 0.274 0.549
0.274 0.726 0.000
0.286 0.286 0.000
0.714 0.714 0.000
0.726 0.274 0.000
0.726 0.726 0.451